Record 1
An optimized crystal structure of SrCa2Zr. Source: the Alexandria database, functional GGA-PBE.

Geometry as extended XYZ:
```
4
Lattice="7.150 0.004 -0.004 3.443 6.266 0.004 -4.471 -4.529 3.258" Properties=species:S:1:pos:R:3 pbc="T T T"
Sr 5.136 3.040 0.000
Ca 4.046 -0.660 1.627
Ca 0.183 0.109 0.000
Zr 2.052 2.388 1.631
```

**Polymorph energy (0 for the lowest one)**: 117.4 meV/atom



Record 2
An optimized crystal structure of Sr2CaZr. Source: the Alexandria database, functional GGA-PBE.

Geometry as extended XYZ:
```
4
Lattice="3.773 0.000 0.000 0.000 3.773 0.000 0.000 0.000 11.005" Properties=species:S:1:pos:R:3 pbc="T T T"
Sr 1.887 1.887 3.218
Sr 0.000 0.000 10.876
Zr 0.000 0.000 5.628
Ca 1.887 1.887 7.791
```

**Polymorph energy (0 for the lowest one)**: 0.0 meV/atom



Question: Which of these has the lowest polymorph energy (0 for the lowest one)?
Answer: Sr2CaZr



Question: Look up the polymorph energy (0 for the lowest one) of the first one.
Answer: 117.4 meV/atom